(1)
The following is a DFT calculation (PBE) of crystalline Ti4AlV2 at its relaxed geometry.

Values from the calculation:
The formation energy is 0.201 eV/atom. Its space group is Cmmm.

The structure in POSCAR format:
```
Ti4AlV2
1.0
-4.417 0.196 1.507
-0.761 -1.898 -1.984
1.975 -5.446 6.497
Ti Al V
4 1 2
direct
0.500 0.816 0.631
0.000 0.667 0.333
0.500 0.184 0.369
0.000 0.333 0.667
0.000 0.000 0.000
0.500 0.560 0.119
0.500 0.440 0.881
```

(2)
The following is a DFT calculation (PBE) of crystalline PuFe5Si2 at its relaxed geometry.

Values from the calculation:
The value obtained for the formation energy without anion corrections is -0.18 eV per atom. Its space group is Immm.

The structure in POSCAR format:
```
PuFe5Si2
1.0
3.302 0.000 0.000
1.651 5.900 0.317
1.651 1.395 5.742
Pu Fe Si
1 5 2
direct
0.000 0.000 0.000
0.000 0.500 0.500
0.649 0.540 0.161
0.351 0.460 0.839
0.351 0.839 0.460
0.649 0.161 0.540
0.746 0.754 0.754
0.254 0.246 0.246
```

(3)
The following is a DFT calculation (PBE) of crystalline Pm8Ga2Pb at its relaxed geometry.

Values from the calculation:
The formation energy is -0.301 eV/atom. Its space group is C2/m.

The structure in POSCAR format:
```
Pm8Ga2Pb
1.0
-0.974 0.883 4.783
7.728 -1.577 1.865
-0.669 7.999 -4.185
Pm Ga Pb
8 2 1
direct
0.398 0.543 0.797
0.677 0.944 0.355
0.833 0.749 0.665
0.949 0.265 0.898
0.167 0.251 0.335
0.323 0.056 0.645
0.602 0.457 0.203
0.051 0.735 0.102
0.785 0.334 0.571
0.215 0.666 0.429
0.500 0.000 0.000
```

(4)
The following is a DFT calculation (PBE) of crystalline ScHPd3 at its relaxed geometry.

Values from the calculation:
The calculation puts the energy above the lowest structure with this stoichiometry at 0.08 eV/f.u. Its space group is P2_1/m.

The structure in POSCAR format:
```
ScHPd3
1.0
5.026 0.000 0.193
0.000 5.688 0.000
-1.986 0.000 4.621
Sc H Pd
2 2 6
direct
0.744 0.250 0.756
0.256 0.750 0.244
0.031 0.250 0.467
0.969 0.750 0.533
0.748 0.000 0.248
0.252 0.000 0.752
0.748 0.500 0.248
0.252 0.500 0.752
0.255 0.250 0.245
0.745 0.750 0.755
```

(5)
The following is a DFT calculation (PBE) of crystalline Cu2SnPb2O6 at its relaxed geometry.

Values from the calculation:
The value obtained for the formation energy without anion corrections is -0.91 eV per atom. Its space group is R-3m.

The structure in POSCAR format:
```
Cu2SnPb2O6
1.0
5.953 0.000 0.000
2.977 5.156 0.000
2.977 1.719 5.365
Cu Sn Pb O
2 1 2 6
direct
0.414 0.414 0.759
0.586 0.586 0.241
0.000 0.000 0.000
0.797 0.797 0.609
0.203 0.203 0.391
0.762 0.762 0.260
0.217 0.762 0.260
0.762 0.217 0.260
0.238 0.783 0.740
0.783 0.238 0.740
0.238 0.238 0.740
```

(6)
The following is a DFT calculation (PBE) of crystalline KPbCl2 at its relaxed geometry.

Values from the calculation:
The calculation puts the energy above the lowest structure with this stoichiometry at 0.34 eV/f.u. The value obtained for the formation energy without anion corrections is -1.16 eV per atom. Its space group is Cmmm.

The structure in POSCAR format:
```
KPbCl2
1.0
3.779 0.002 0.000
-1.340 3.533 0.000
0.000 0.000 8.751
Pb K Cl
1 1 2
direct
0.500 0.500 0.750
0.500 0.500 0.250
0.000 0.000 0.013
0.000 0.000 0.487
```

(7)
The following is a DFT calculation (PBE) of crystalline RbAlTe2 at its relaxed geometry.

Values from the calculation:
The value obtained for the formation energy without anion corrections is -0.79 eV per atom. Its space group is P-1.

The structure in POSCAR format:
```
RbAlTe2
1.0
7.541 0.000 0.001
2.759 7.762 -0.003
2.027 -0.741 6.353
Te Al Rb
4 2 2
direct
0.050 0.515 0.367
0.457 0.028 0.239
0.028 0.169 0.884
0.479 0.373 0.723
0.260 0.268 0.045
0.247 0.275 0.562
0.922 0.998 0.417
0.585 0.545 0.189
```

(8)
The following is a DFT calculation (PBE) of crystalline La4Sm2YTm2 at its relaxed geometry.

Values from the calculation:
The formation energy is 0.029 eV/atom. Its space group is C2/m.

The structure in POSCAR format:
```
La4Sm2YTm2
1.0
3.644 0.000 0.000
-1.822 9.319 1.660
0.000 -1.556 8.801
La Sm Y Tm
4 2 1 2
direct
0.777 0.554 0.674
0.223 0.446 0.326
0.556 0.112 0.330
0.444 0.888 0.670
0.888 0.777 0.326
0.112 0.223 0.674
0.000 0.000 0.000
0.333 0.666 0.001
0.667 0.334 0.999
```

For reference, total energy by record: -7.451; -8.620; -4.643; -5.736; -5.399; -3.288; -3.543; -4.921 eV per atom.
For reference, calculated volume by record: 114.3; 110.4; 326.2; 134.3; 164.7; 116.9; 371.8; 308.3 Å³ per cell.